The following is a PBE calculation of CdIn2Bi2Pb after structural relaxation, from Alexandria via LeMat-Bulk.

The calculation puts the energy of formation at 0.0193 eV/atom. Its magnetization is 0.0 μB/f.u.

It has space group Pmc2_1 (No. 26), with a = 4.994 Å, b = 10.267 Å, c = 7.006 Å, α = 90.00°, β = 90.00° and γ = 90.00°. The asymmetric unit holds Cd at (0.000, 0.170, 0.000), In at (0.000, 0.488, 0.418), In at (0.500, 0.345, 0.678), Bi at (0.000, 0.157, 0.549), Bi at (0.500, 0.327, 0.144) and Pb at (0.500, 0.011, 0.257).

---

The following is a PBE calculation of CdIn2BiPb4 after structural relaxation, from Alexandria via LeMat-Bulk.

The calculation puts the energy of formation at 0.0440 eV/atom. Its magnetization is 0.0 μB/f.u.

It has space group P2/m (No. 10), with a = 6.144 Å, b = 3.456 Å, c = 11.356 Å, α = 90.00°, β = 97.31° and γ = 90.00°. The asymmetric unit holds Cd at (0.000, 0.000, 0.000), In at (0.000, 0.500, 0.500), In at (0.500, 0.000, 0.500), Bi at (0.500, 0.500, 0.000), Pb at (0.240, 0.500, 0.248) and Pb at (0.254, 0.000, 0.750).

---

The following is a PBE calculation of CdIn4Bi2Pb after structural relaxation, from Alexandria via LeMat-Bulk.

The calculation puts the energy of formation at 0.0951 eV/atom. Its magnetization is 0.0 μB/f.u.

It has space group Imma (No. 74), with a = 8.405 Å, b = 9.342 Å, c = 12.597 Å, α = 90.00°, β = 90.00° and γ = 90.00°. The asymmetric unit holds Cd at (0.000, 0.000, 0.000), In at (0.000, 0.005, 0.249), In at (0.246, 0.250, 0.002), Bi at (0.000, 0.000, 0.500), Bi at (0.250, 0.250, 0.250) and Pb at (0.250, 0.250, 0.750).

---

The following is a PBE calculation of CdInBi2Pb4 after structural relaxation, from Alexandria via LeMat-Bulk.

The calculation puts the energy of formation at 0.1117 eV/atom. Its magnetization is 0.0 μB/f.u.

It has space group P2/m (No. 10), with a = 7.304 Å, b = 4.548 Å, c = 8.383 Å, α = 90.00°, β = 109.78° and γ = 90.00°. The asymmetric unit holds Cd at (0.000, 0.000, 0.000), In at (0.000, 0.500, 0.500), Bi at (0.500, 0.000, 0.500), Bi at (0.500, 0.500, 0.000), Pb at (0.234, 0.500, 0.246) and Pb at (0.236, 0.000, 0.750).

---

The following is a PBE calculation of CdInBi2Pd after structural relaxation, from Alexandria via LeMat-Bulk.

The calculation puts the energy of formation at 0.8328 eV/atom. Its magnetization is 0.0 μB/f.u.

It has space group P4/mmm (No. 123), with a = 5.747 Å, b = 5.747 Å, c = 5.220 Å, α = 90.00°, β = 90.00° and γ = 90.00°. The asymmetric unit holds Cd at (0.000, 0.000, 0.000), In at (0.000, 0.000, 0.500), Bi at (0.000, 0.500, 0.500) and Pd at (0.500, 0.500, 0.000).

---

The following is a PBE calculation of PuCdIn2Bi2 after structural relaxation, from Alexandria via LeMat-Bulk.

The calculation puts the energy of formation at -0.0877 eV/atom. Its magnetization is 5.8 μB/f.u.

It has space group Pmc2_1 (No. 26), with a = 5.067 Å, b = 10.402 Å, c = 6.613 Å, α = 90.00°, β = 90.00° and γ = 90.00°. The asymmetric unit holds Pu at (0.000, 0.000, 0.000), Cd at (0.500, 0.157, 0.245), In at (0.000, 0.341, 0.775), In at (0.500, 0.496, 0.548), Bi at (0.000, 0.314, 0.267) and Bi at (0.500, 0.143, 0.748).

---

The following is a PBE calculation of Rb2Cd4In3Bi after structural relaxation, from Alexandria via LeMat-Bulk.

The calculation puts the energy of formation at -0.1034 eV/atom. Its magnetization is 0.0 μB/f.u.

It has space group P-4m2 (No. 115), with a = 5.041 Å, b = 5.041 Å, c = 12.718 Å, α = 90.00°, β = 90.00° and γ = 90.00°. The asymmetric unit holds Rb at (0.000, 0.500, 0.246), Cd at (0.000, 0.000, 0.000), Cd at (0.000, 0.500, 0.643), Cd at (0.500, 0.500, 0.000), In at (0.000, 0.500, 0.874), In at (0.500, 0.500, 0.500) and Bi at (0.000, 0.000, 0.500).

---

The following is a PBE calculation of RbCdIn2Bi2 after structural relaxation, from Alexandria via LeMat-Bulk.

The calculation puts the energy of formation at -0.1285 eV/atom. Its magnetization is 0.0 μB/f.u.

It has space group P-3m1 (No. 164), with a = 5.3819 Å, b = 5.3819 Å, c = 8.4093 Å, α = 90.00°, β = 90.00° and γ = 120.00°. The asymmetric unit holds Rb at (0.0000, 0.0000, 0.0000), Cd at (0.0000, 0.0000, 0.5000), In at (0.3333, 0.6667, 0.3506) and Bi at (0.3333, 0.6667, 0.7202).

---

The following is a PBE calculation of Rb2CdIn4Bi3 after structural relaxation, from Alexandria via LeMat-Bulk.

The calculation puts the energy of formation at -0.1584 eV/atom. Its magnetization is 0.0 μB/f.u.

It has space group P-4m2 (No. 115), with a = 5.229 Å, b = 5.229 Å, c = 13.417 Å, α = 90.00°, β = 90.00° and γ = 90.00°. The asymmetric unit holds Rb at (0.000, 0.500, 0.244), Cd at (0.500, 0.500, 0.000), In at (0.000, 0.000, 0.500), In at (0.000, 0.500, 0.874), In at (0.500, 0.500, 0.500), Bi at (0.000, 0.000, 0.000) and Bi at (0.000, 0.500, 0.632).

---

The following is a PBE calculation of Rb2Cd3InBi4 after structural relaxation, from Alexandria via LeMat-Bulk.

The calculation puts the energy of formation at -0.2026 eV/atom. Its magnetization is 0.0 μB/f.u.

It has space group P-4m2 (No. 115), with a = 5.413 Å, b = 5.413 Å, c = 12.055 Å, α = 90.00°, β = 90.00° and γ = 90.00°. The asymmetric unit holds Rb at (0.000, 0.500, 0.247), Cd at (0.000, 0.500, 0.875), Cd at (0.500, 0.500, 0.500), In at (0.000, 0.000, 0.500), Bi at (0.000, 0.000, 0.000), Bi at (0.000, 0.500, 0.627) and Bi at (0.500, 0.500, 0.000).

---

The following is a PBE calculation of CdIn2BiRh after structural relaxation, from Alexandria via LeMat-Bulk.

The calculation puts the energy of formation at 0.6915 eV/atom. Its magnetization is 0.0 μB/f.u.

It has space group P4/mmm (No. 123), with a = 5.923 Å, b = 5.923 Å, c = 5.070 Å, α = 90.00°, β = 90.00° and γ = 90.00°. The asymmetric unit holds Cd at (0.000, 0.000, 0.000), In at (0.000, 0.500, 0.500), Bi at (0.500, 0.500, 0.500) and Rh at (0.500, 0.500, 0.000).

---

The following is a PBE calculation of Cd2InBiRh after structural relaxation, from Alexandria via LeMat-Bulk.

The calculation puts the energy of formation at 1.0458 eV/atom. Its magnetization is 0.8 μB/f.u.

It has space group P4/mmm (No. 123), with a = 5.201 Å, b = 5.201 Å, c = 5.864 Å, α = 90.00°, β = 90.00° and γ = 90.00°. The asymmetric unit holds Cd at (0.000, 0.500, 0.000), In at (0.000, 0.000, 0.000), Bi at (0.000, 0.000, 0.500) and Rh at (0.500, 0.500, 0.500).

---

> Which value of energy of formation does entry 5 give?

0.8328 eV/atom

---

> Number 9 is which compound?

Rb2CdIn4Bi3